Al3BRh | PBE | relaxed

* space group: Pm-3m
* V: 13.76 Å³/atom
* relative energy among the computed polymorphs: 0.000 eV/atom
* total moment: 0.000 μB/cell
* DFT formation energy: 0.06 eV/atom

Cell: 4.0974 4.0974 4.0974 Å, 90.00 90.00 90.00°
Sites, in units of the cell vectors:
B 0.0000 0.0000 0.0000
Rh 0.5000 0.5000 0.5000
Al 0.0000 0.5000 0.0000
Al 0.0000 0.0000 0.5000
Al 0.5000 0.0000 0.0000

***

Sm3AlB2Rh9 | PBE | relaxed

* space group: P-3m1
* V: 16.37 Å³/atom
* total moment: 0.001 μB/cell
* DFT formation energy: -0.65 eV/atom

Cell: 6.1215 6.1215 7.5667 Å, 90.00 90.00 120.00°
Sites, in units of the cell vectors:
Sm 0.3333 0.6667 0.6611
Sm 0.0000 0.0000 0.0000
Sm 0.6667 0.3333 0.3389
Al 0.0000 0.0000 0.5000
B 0.3333 0.6667 0.1483
B 0.6667 0.3333 0.8517
Rh 0.8228 0.1772 0.6867
Rh 0.8228 0.6457 0.6867
Rh 0.3543 0.1772 0.6867
Rh 0.6457 0.8228 0.3133
Rh 0.1772 0.3543 0.3133
Rh 0.1772 0.8228 0.3133
Rh 0.5000 0.0000 0.0000
Rh 0.0000 0.5000 0.0000
Rh 0.5000 0.5000 0.0000

***

Sm2AlB2Rh5 | PBE | relaxed

* space group: P4/mbm
* V: 14.81 Å³/atom
* total moment: 0.000 μB/cell
* DFT formation energy: -0.78 eV/atom

Cell: 3.1893 9.6385 9.6385 Å, 90.00 90.00 90.00°
Sites, in units of the cell vectors:
Sm 0.0000 0.6766 0.1766
Sm 0.0000 0.3234 0.8234
Sm 0.0000 0.1766 0.3234
Sm 0.0000 0.8234 0.6766
Al 0.0000 0.0000 0.0000
Al 0.0000 0.5000 0.5000
B 0.0000 0.1216 0.6216
B 0.0000 0.8784 0.3784
B 0.0000 0.6216 0.8784
B 0.0000 0.3784 0.1216
Rh 0.5000 0.2208 0.0689
Rh 0.5000 0.7792 0.9311
Rh 0.5000 0.0689 0.7792
Rh 0.5000 0.7208 0.4311
Rh 0.5000 0.9311 0.2208
Rh 0.5000 0.2792 0.5689
Rh 0.5000 0.5689 0.7208
Rh 0.5000 0.4311 0.2792
Rh 0.5000 0.5000 0.0000
Rh 0.5000 0.0000 0.5000

***

Sm2AlBRh6 | PBE | relaxed

* space group: Immm
* V: 16.94 Å³/atom
* total moment: 0.000 μB/cell
* DFT formation energy: -0.61 eV/atom

Cell: 6.2094 6.2095 6.2195 Å, 59.97 59.97 90.00°
Sites, in units of the cell vectors:
Sm 0.7500 0.2501 0.5000
Sm 0.2500 0.7499 0.5000
Al 0.0000 0.0000 0.0000
B 0.5000 0.5000 0.0000
Rh 0.2658 0.2658 0.4683
Rh 0.7341 0.7340 0.0000
Rh 0.2660 0.7341 0.0000
Rh 0.7340 0.2659 0.0000
Rh 0.2659 0.2660 0.0000
Rh 0.7342 0.7342 0.5317

***

Tb2AlB2Rh5 | PBE | relaxed

* space group: P4/mbm
* V: 14.46 Å³/atom
* total moment: 0.000 μB/cell
* DFT formation energy: -0.86 eV/atom

Cell: 3.1681 9.5538 9.5538 Å, 90.00 90.00 90.00°
Sites, in units of the cell vectors:
Tb 0.0000 0.6759 0.1759
Tb 0.0000 0.3241 0.8241
Tb 0.0000 0.1759 0.3241
Tb 0.0000 0.8241 0.6759
Al 0.0000 0.0000 0.0000
Al 0.0000 0.5000 0.5000
B 0.0000 0.1225 0.6225
B 0.0000 0.8775 0.3775
B 0.0000 0.6225 0.8775
B 0.0000 0.3775 0.1225
Rh 0.5000 0.2193 0.0694
Rh 0.5000 0.7807 0.9306
Rh 0.5000 0.0694 0.7807
Rh 0.5000 0.7193 0.4306
Rh 0.5000 0.9306 0.2193
Rh 0.5000 0.2807 0.5694
Rh 0.5000 0.5694 0.7193
Rh 0.5000 0.4306 0.2807
Rh 0.5000 0.5000 0.0000
Rh 0.5000 0.0000 0.5000

***

Th2AlBRh6 | PBE | relaxed

* space group: Fm-3m
* V: 17.16 Å³/atom
* total moment: 0.000 μB/cell
* DFT formation energy: -0.78 eV/atom

Cell: 6.2374 6.2389 6.2359 Å, 59.99 60.00 90.00°
Sites, in units of the cell vectors:
Th 0.7500 0.2500 0.4999
Th 0.2500 0.7500 0.5001
Al 0.0000 0.0000 0.0000
B 0.5000 0.5000 0.0000
Rh 0.2653 0.2653 0.4695
Rh 0.7349 0.7348 0.9999
Rh 0.2652 0.7348 0.0000
Rh 0.7348 0.2652 0.0000
Rh 0.2651 0.2652 0.0001
Rh 0.7347 0.7347 0.5305